*1*
{"formula": "Cd3Hg4", "functional": "PBE-GGA", "state": "optimized geometry", "crystal_system": "hexagonal", "sg": "P6_3/m", "density_g_cm3": 10.10, "lattice": [[3.998, 0.000, 0.000], [0.000, 9.008, -5.201], [0.000, 0.000, 10.402]], "species": ["Cd", "Cd", "Cd", "Cd", "Cd", "Cd", "Hg", "Hg", "Hg", "Hg", "Hg", "Hg", "Hg", "Hg"], "frac_coords": [[0.250, 0.381, 0.903], [0.250, 0.523, 0.619], [0.250, 0.097, 0.477], [0.750, 0.619, 0.097], [0.750, 0.477, 0.381], [0.750, 0.903, 0.523], [0.750, 0.333, 0.667], [0.750, 0.787, 0.743], [0.250, 0.667, 0.333], [0.250, 0.743, 0.956], [0.750, 0.257, 0.044], [0.250, 0.044, 0.787], [0.250, 0.213, 0.257], [0.750, 0.956, 0.213]]}

*2*
{"formula": "Cd3Hg4", "functional": "PBE-GGA", "state": "optimized geometry", "crystal_system": "tetragonal", "sg": "I4/mmm", "density_g_cm3": 10.99, "lattice": [[4.107, 0.000, 0.000], [0.000, 4.107, 0.000], [2.053, 2.053, 10.210]], "species": ["Cd", "Cd", "Cd", "Hg", "Hg", "Hg", "Hg"], "frac_coords": [[0.000, 0.000, 0.000], [0.714, 0.714, 0.572], [0.286, 0.286, 0.428], [0.429, 0.429, 0.143], [0.571, 0.571, 0.857], [0.856, 0.856, 0.288], [0.144, 0.144, 0.712]]}

*3*
{"formula": "Cd3Hg4", "functional": "PBE-GGA", "state": "optimized geometry", "crystal_system": "hexagonal", "sg": "P6/mmm", "density_g_cm3": 10.50, "lattice": [[6.029, 0.000, 0.000], [3.015, 5.222, 0.000], [0.000, 0.000, 5.724]], "species": ["Hg", "Hg", "Hg", "Hg", "Cd", "Cd", "Cd"], "frac_coords": [[0.000, 0.000, 0.745], [0.000, 0.000, 0.255], [0.333, 0.333, 0.500], [0.667, 0.667, 0.500], [0.500, 0.500, 0.000], [0.500, 0.000, 0.000], [0.000, 0.500, 0.000]]}

Most stable: *2*. Least stable: *3*.